! MgPd6Au | Alexandria | GGA-PBE | relaxed; values from VASP
! Energy of formation = -0.2655 eV per atom
! Calculated density = 11.29 g/cm3
! DOS at the Fermi energy = 9.2 states/eV/f.u.
! Energy above the most stable polymorph in this dataset = 0 meV/atom
! Spin magnetization = 0.00 μB/atom
&SYSTEM
  ibrav = 0, nat = 8, ntyp = 3
/
ATOMIC_SPECIES
Pd 106.42 Pd.upf
Au 196.97 Au.upf
Mg 24.30 Mg.upf
ATOMIC_POSITIONS crystal
Pd 0.000 0.247 0.247
Pd 0.000 0.248 0.752
Pd 0.000 0.752 0.248
Pd 0.000 0.753 0.753
Pd 0.500 0.500 0.000
Pd 0.500 0.000 0.500
Au 0.500 0.500 0.500
Mg 0.500 0.000 0.000
CELL_PARAMETERS angstrom
3.969 0.000 0.000
0.000 5.646 -0.036
0.000 0.036 5.646

! Mg3Pd2Au2 | Alexandria | GGA-PBE | relaxed; values from VASP
! Energy of formation = -0.5788 eV per atom
! Calculated density = 9.47 g/cm3
! DOS at the Fermi energy = 2.8 states/eV/f.u.
! Spin magnetization = 0.00 μB/atom
&SYSTEM
  ibrav = 0, nat = 7, ntyp = 3
/
ATOMIC_SPECIES
Mg 24.30 Mg.upf
Au 196.97 Au.upf
Pd 106.42 Pd.upf
ATOMIC_POSITIONS crystal
Mg 0.290 0.117 0.703
Mg 0.000 0.000 0.000
Mg 0.710 0.883 0.297
Au 0.147 0.560 0.855
Au 0.853 0.440 0.145
Pd 0.551 0.283 0.417
Pd 0.449 0.717 0.583
CELL_PARAMETERS angstrom
4.594 -0.402 -1.513
-2.960 3.833 -0.248
-0.737 -0.779 7.788

! Mg3PdAu | Alexandria | GGA-PBE | relaxed; values from VASP
! Energy of formation = -0.1158 eV per atom
! Calculated density = 5.30 g/cm3
! DOS at the Fermi energy = 1.8 states/eV/f.u.
! Energy above the most stable polymorph in this dataset = 441 meV/atom
! Spin magnetization = 0.00 μB/atom
&SYSTEM
  ibrav = 0, nat = 5, ntyp = 3
/
ATOMIC_SPECIES
Pd 106.42 Pd.upf
Au 196.97 Au.upf
Mg 24.30 Mg.upf
ATOMIC_POSITIONS crystal
Pd 0.000 0.000 0.000
Au 0.500 0.500 0.500
Mg 0.000 0.500 0.000
Mg 0.000 0.000 0.500
Mg 0.500 0.000 0.000
CELL_PARAMETERS angstrom
-3.581 3.149 -1.139
-3.029 -3.757 -0.865
-1.428 0.072 4.690

! Mg4PdAu | Alexandria | GGA-PBE | relaxed; values from VASP
! Energy of formation = -0.3468 eV per atom
! Calculated density = 5.59 g/cm3
! DOS at the Fermi energy = 2.1 states/eV/f.u.
! Energy above the most stable polymorph in this dataset = 77 meV/atom
! Spin magnetization = 0.00 μB/atom
&SYSTEM
  ibrav = 0, nat = 6, ntyp = 3
/
ATOMIC_SPECIES
Mg 24.30 Mg.upf
Pd 106.42 Pd.upf
Au 196.97 Au.upf
ATOMIC_POSITIONS crystal
Mg 0.874 0.749 0.705
Mg 0.407 0.799 0.067
Mg 0.096 0.205 0.427
Mg 0.628 0.258 0.808
Pd 0.122 0.231 0.073
Au 0.372 0.757 0.421
CELL_PARAMETERS angstrom
-0.337 1.189 -3.074
4.730 -2.619 0.222
-5.975 -4.673 -1.046

! Mg2Pd5Au4 | Alexandria | GGA-PBE | relaxed; values from VASP
! Energy of formation = -0.1563 eV per atom
! Calculated density = 11.35 g/cm3
! DOS at the Fermi energy = 5.9 states/eV/f.u.
! Spin magnetization = 0.00 μB/atom
&SYSTEM
  ibrav = 0, nat = 11, ntyp = 3
/
ATOMIC_SPECIES
Pd 106.42 Pd.upf
Mg 24.30 Mg.upf
Au 196.97 Au.upf
ATOMIC_POSITIONS crystal
Pd 0.500 0.000 0.000
Pd 0.753 0.147 0.504
Pd 0.857 0.600 0.720
Pd 0.247 0.853 0.496
Pd 0.143 0.400 0.280
Mg 0.460 0.333 0.921
Mg 0.540 0.667 0.079
Au 0.698 0.630 0.391
Au 0.919 0.112 0.843
Au 0.302 0.370 0.609
Au 0.081 0.888 0.157
CELL_PARAMETERS angstrom
2.814 0.008 -0.622
-1.032 11.840 -4.831
0.098 -2.830 7.197

! MgPd5Au8 | Alexandria | GGA-PBE | relaxed; values from VASP
! Energy of formation = -0.0418 eV per atom
! Calculated density = 13.99 g/cm3
! DOS at the Fermi energy = 6.0 states/eV/f.u.
! Spin magnetization = 0.00 μB/atom
&SYSTEM
  ibrav = 0, nat = 14, ntyp = 3
/
ATOMIC_SPECIES
Au 196.97 Au.upf
Pd 106.42 Pd.upf
Mg 24.30 Mg.upf
ATOMIC_POSITIONS crystal
Au 0.643 0.398 0.914
Au 0.137 0.702 0.061
Au 0.755 0.271 0.357
Au 0.359 0.298 0.436
Au 0.086 0.729 0.484
Au 0.516 0.602 0.245
Au 0.939 0.076 0.641
Au 0.564 0.924 0.863
Pd 0.023 0.309 0.111
Pd 0.285 0.088 0.977
Pd 0.500 0.000 0.500
Pd 0.889 0.912 0.198
Pd 0.802 0.691 0.715
Mg 0.250 0.500 0.750
CELL_PARAMETERS angstrom
6.902 -0.013 0.023
-2.348 6.490 -0.023
-2.206 -3.288 5.653

! MgPd3Au6 | Alexandria | GGA-PBE | relaxed; values from VASP
! Energy of formation = -0.1427 eV per atom
! Calculated density = 14.61 g/cm3
! DOS at the Fermi energy = 4.6 states/eV/f.u.
! Energy above the most stable polymorph in this dataset = 0 meV/atom
! Spin magnetization = 0.00 μB/atom
&SYSTEM
  ibrav = 0, nat = 20, ntyp = 3
/
ATOMIC_SPECIES
Mg 24.30 Mg.upf
Au 196.97 Au.upf
Pd 106.42 Pd.upf
ATOMIC_POSITIONS crystal
Mg 0.750 0.120 0.697
Mg 0.250 0.880 0.303
Au 0.250 0.337 0.688
Au 0.750 0.881 0.723
Au 0.250 0.145 0.902
Au 0.750 0.663 0.312
Au 0.250 0.119 0.277
Au 0.250 0.873 0.526
Au 0.750 0.607 0.707
Au 0.750 0.385 0.101
Au 0.250 0.615 0.899
Au 0.750 0.127 0.474
Au 0.250 0.393 0.293
Au 0.750 0.855 0.098
Pd 0.250 0.619 0.107
Pd 0.250 0.386 0.501
Pd 0.250 0.879 0.908
Pd 0.750 0.381 0.893
Pd 0.750 0.614 0.499
Pd 0.750 0.121 0.092
CELL_PARAMETERS angstrom
-1.903 0.913 -1.955
1.677 -8.818 -5.749
-9.386 0.511 9.375

! Mg6PdAu5 | Alexandria | GGA-PBE | relaxed; values from VASP
! Energy of formation = -0.6369 eV per atom
! Calculated density = 9.67 g/cm3
! DOS at the Fermi energy = 2.4 states/eV/f.u.
! Spin magnetization = 0.00 μB/atom
&SYSTEM
  ibrav = 0, nat = 12, ntyp = 3
/
ATOMIC_SPECIES
Mg 24.30 Mg.upf
Au 196.97 Au.upf
Pd 106.42 Pd.upf
ATOMIC_POSITIONS crystal
Mg 0.253 0.754 0.754
Mg 0.747 0.246 0.246
Mg 0.752 0.916 0.588
Mg 0.248 0.084 0.412
Mg 0.248 0.412 0.084
Mg 0.752 0.588 0.916
Au 0.500 0.835 0.165
Au 0.500 0.165 0.835
Au 0.000 0.332 0.668
Au 0.500 0.500 0.500
Au 0.000 0.668 0.332
Pd 0.000 0.000 0.000
CELL_PARAMETERS angstrom
-3.913 -0.059 -2.537
-0.775 -5.778 5.564
1.226 7.666 2.162

! MgPdAu5 | Alexandria | GGA-PBE | relaxed; values from VASP
! Energy of formation = 0.0337 eV per atom
! Calculated density = 13.00 g/cm3
! DOS at the Fermi energy = 2.3 states/eV/f.u.
! Spin magnetization = 0.00 μB/atom
&SYSTEM
  ibrav = 0, nat = 7, ntyp = 3
/
ATOMIC_SPECIES
Pd 106.42 Pd.upf
Au 196.97 Au.upf
Mg 24.30 Mg.upf
ATOMIC_POSITIONS crystal
Pd 0.591 0.000 0.000
Au 0.726 0.809 0.618
Au 0.108 0.191 0.382
Au 0.631 0.500 0.000
Au 0.257 0.244 0.000
Au 0.257 0.756 0.000
Mg 0.961 0.500 0.000
CELL_PARAMETERS angstrom
7.680 0.000 0.000
0.000 5.387 0.000
-3.840 -2.693 3.445

! Mg2Pd5Au12 | Alexandria | GGA-PBE | relaxed; values from VASP
! Energy of formation = -0.1346 eV per atom
! Calculated density = 14.15 g/cm3
! DOS at the Fermi energy = 7.2 states/eV/f.u.
! Spin magnetization = 0.00 μB/atom
&SYSTEM
  ibrav = 0, nat = 19, ntyp = 3
/
ATOMIC_SPECIES
Au 196.97 Au.upf
Pd 106.42 Pd.upf
Mg 24.30 Mg.upf
ATOMIC_POSITIONS crystal
Au 0.488 0.420 0.200
Au 0.449 0.898 0.711
Au 0.369 0.204 0.601
Au 0.551 0.102 0.289
Au 0.512 0.580 0.800
Au 0.068 0.580 0.800
Au 0.165 0.796 0.399
Au 0.932 0.420 0.200
Au 0.835 0.204 0.601
Au 0.631 0.796 0.399
Au 0.099 0.198 0.102
Au 0.901 0.802 0.898
Pd 0.772 0.544 0.510
Pd 0.662 0.324 0.894
Pd 0.338 0.676 0.106
Pd 0.228 0.456 0.490
Pd 0.000 0.000 0.500
Mg 0.726 0.000 0.000
Mg 0.274 0.000 0.000
CELL_PARAMETERS angstrom
-5.902 5.928 -2.178
-0.389 -4.459 6.071
2.999 4.358 3.733

! MgPd2Au6 | Alexandria | GGA-PBE | relaxed; values from VASP
! Energy of formation = -0.1551 eV per atom
! Calculated density = 14.19 g/cm3
! DOS at the Fermi energy = 4.0 states/eV/f.u.
! Energy above the most stable polymorph in this dataset = 40 meV/atom
! Spin magnetization = 0.00 μB/atom
&SYSTEM
  ibrav = 0, nat = 18, ntyp = 3
/
ATOMIC_SPECIES
Au 196.97 Au.upf
Pd 106.42 Pd.upf
Mg 24.30 Mg.upf
ATOMIC_POSITIONS crystal
Au 0.842 0.101 0.922
Au 0.866 0.639 0.936
Au 0.268 0.134 0.753
Au 0.634 0.139 0.564
Au 0.732 0.866 0.247
Au 0.768 0.366 0.253
Au 0.158 0.899 0.078
Au 0.658 0.601 0.578
Au 0.232 0.634 0.747
Au 0.366 0.861 0.436
Au 0.342 0.399 0.422
Au 0.134 0.361 0.064
Pd 0.465 0.140 0.140
Pd 0.965 0.360 0.640
Pd 0.535 0.860 0.860
Pd 0.035 0.640 0.360
Mg 0.000 0.000 0.500
Mg 0.500 0.500 0.000
CELL_PARAMETERS angstrom
-1.947 -6.728 -0.707
5.301 -1.040 -4.697
3.983 -1.877 4.910

! MgPd5Au4 | Alexandria | GGA-PBE | relaxed; values from VASP
! Energy of formation = -0.1190 eV per atom
! Calculated density = 12.32 g/cm3
! DOS at the Fermi energy = 5.8 states/eV/f.u.
! Energy above the most stable polymorph in this dataset = 0 meV/atom
! Spin magnetization = 0.00 μB/atom
&SYSTEM
  ibrav = 0, nat = 20, ntyp = 3
/
ATOMIC_SPECIES
Mg 24.30 Mg.upf
Au 196.97 Au.upf
Pd 106.42 Pd.upf
ATOMIC_POSITIONS crystal
Mg 0.326 0.500 0.500
Mg 0.674 0.000 0.000
Au 0.919 0.000 0.686
Au 0.081 0.500 0.814
Au 0.246 0.224 0.000
Au 0.081 0.500 0.186
Au 0.246 0.776 0.000
Au 0.754 0.724 0.500
Au 0.919 0.000 0.314
Au 0.754 0.276 0.500
Pd 0.256 0.754 0.667
Pd 0.428 0.000 0.500
Pd 0.744 0.746 0.833
Pd 0.256 0.754 0.333
Pd 0.256 0.246 0.333
Pd 0.256 0.246 0.667
Pd 0.744 0.746 0.167
Pd 0.744 0.254 0.167
Pd 0.744 0.254 0.833
Pd 0.572 0.500 0.000
CELL_PARAMETERS angstrom
4.776 0.000 0.000
0.000 9.148 0.000
0.000 0.000 8.295

Copy entry 11 word for word.
! MgPd2Au6 | Alexandria | GGA-PBE | relaxed; values from VASP
! Energy of formation = -0.1551 eV per atom
! Calculated density = 14.19 g/cm3
! DOS at the Fermi energy = 4.0 states/eV/f.u.
! Energy above the most stable polymorph in this dataset = 40 meV/atom
! Spin magnetization = 0.00 μB/atom
&SYSTEM
  ibrav = 0, nat = 18, ntyp = 3
/
ATOMIC_SPECIES
Au 196.97 Au.upf
Pd 106.42 Pd.upf
Mg 24.30 Mg.upf
ATOMIC_POSITIONS crystal
Au 0.842 0.101 0.922
Au 0.866 0.639 0.936
Au 0.268 0.134 0.753
Au 0.634 0.139 0.564
Au 0.732 0.866 0.247
Au 0.768 0.366 0.253
Au 0.158 0.899 0.078
Au 0.658 0.601 0.578
Au 0.232 0.634 0.747
Au 0.366 0.861 0.436
Au 0.342 0.399 0.422
Au 0.134 0.361 0.064
Pd 0.465 0.140 0.140
Pd 0.965 0.360 0.640
Pd 0.535 0.860 0.860
Pd 0.035 0.640 0.360
Mg 0.000 0.000 0.500
Mg 0.500 0.500 0.000
CELL_PARAMETERS angstrom
-1.947 -6.728 -0.707
5.301 -1.040 -4.697
3.983 -1.877 4.910

Question: Which of these has the lowest calculated density?
Answer: Mg3PdAu

Copy entry 10 word for word.
! Mg2Pd5Au12 | Alexandria | GGA-PBE | relaxed; values from VASP
! Energy of formation = -0.1346 eV per atom
! Calculated density = 14.15 g/cm3
! DOS at the Fermi energy = 7.2 states/eV/f.u.
! Spin magnetization = 0.00 μB/atom
&SYSTEM
  ibrav = 0, nat = 19, ntyp = 3
/
ATOMIC_SPECIES
Au 196.97 Au.upf
Pd 106.42 Pd.upf
Mg 24.30 Mg.upf
ATOMIC_POSITIONS crystal
Au 0.488 0.420 0.200
Au 0.449 0.898 0.711
Au 0.369 0.204 0.601
Au 0.551 0.102 0.289
Au 0.512 0.580 0.800
Au 0.068 0.580 0.800
Au 0.165 0.796 0.399
Au 0.932 0.420 0.200
Au 0.835 0.204 0.601
Au 0.631 0.796 0.399
Au 0.099 0.198 0.102
Au 0.901 0.802 0.898
Pd 0.772 0.544 0.510
Pd 0.662 0.324 0.894
Pd 0.338 0.676 0.106
Pd 0.228 0.456 0.490
Pd 0.000 0.000 0.500
Mg 0.726 0.000 0.000
Mg 0.274 0.000 0.000
CELL_PARAMETERS angstrom
-5.902 5.928 -2.178
-0.389 -4.459 6.071
2.999 4.358 3.733

What did the sixth record say?
! MgPd5Au8 | Alexandria | GGA-PBE | relaxed; values from VASP
! Energy of formation = -0.0418 eV per atom
! Calculated density = 13.99 g/cm3
! DOS at the Fermi energy = 6.0 states/eV/f.u.
! Spin magnetization = 0.00 μB/atom
&SYSTEM
  ibrav = 0, nat = 14, ntyp = 3
/
ATOMIC_SPECIES
Au 196.97 Au.upf
Pd 106.42 Pd.upf
Mg 24.30 Mg.upf
ATOMIC_POSITIONS crystal
Au 0.643 0.398 0.914
Au 0.137 0.702 0.061
Au 0.755 0.271 0.357
Au 0.359 0.298 0.436
Au 0.086 0.729 0.484
Au 0.516 0.602 0.245
Au 0.939 0.076 0.641
Au 0.564 0.924 0.863
Pd 0.023 0.309 0.111
Pd 0.285 0.088 0.977
Pd 0.500 0.000 0.500
Pd 0.889 0.912 0.198
Pd 0.802 0.691 0.715
Mg 0.250 0.500 0.750
CELL_PARAMETERS angstrom
6.902 -0.013 0.023
-2.348 6.490 -0.023
-2.206 -3.288 5.653